[1]
The following is a PBE calculation of crystalline Pa2Si3AgIr4 at its relaxed geometry, from Alexandria via LeMat-Bulk.

```
data_Pa2Si3AgIr4
_symmetry_space_group_name_H-M 'P -4 m 2'
_symmetry_Int_Tables_number 115
_symmetry_space_group_name_Hall 'P -4 -2'
_cell_length_a 3.9902
_cell_length_b 3.9902
_cell_length_c 11.0423
_cell_angle_alpha 90.00
_cell_angle_beta 90.00
_cell_angle_gamma 90.00
loop_
_atom_site_label
_atom_site_type_symbol
_atom_site_fract_x
_atom_site_fract_y
_atom_site_fract_z
Pa1 Pa 0.0000 0.5000 0.2460
Si1 Si 0.0000 0.5000 0.8806
Si2 Si 0.5000 0.5000 0.5000
Ag1 Ag 0.0000 0.0000 0.5000
Ir1 Ir 0.0000 0.0000 0.0000
Ir2 Ir 0.0000 0.5000 0.6701
Ir3 Ir 0.5000 0.5000 0.0000
```

The calculation puts the formation energy from raw total energies at -765 meV per atom.

=====

[2]
The following is a PBE calculation of crystalline TbPaAgIr at its relaxed geometry, from Alexandria via LeMat-Bulk.

```
data_TbPaAgIr
_symmetry_space_group_name_H-M 'F -4 3 m'
_symmetry_Int_Tables_number 216
_symmetry_space_group_name_Hall 'F -4 2 3'
_cell_length_a 7.0713
_cell_length_b 7.0713
_cell_length_c 7.0713
_cell_angle_alpha 90.00
_cell_angle_beta 90.00
_cell_angle_gamma 90.00
loop_
_atom_site_label
_atom_site_type_symbol
_atom_site_fract_x
_atom_site_fract_y
_atom_site_fract_z
Tb1 Tb 0.0000 0.0000 0.0000
Pa1 Pa 0.0000 0.0000 0.5000
Ag1 Ag 0.2500 0.2500 0.2500
Ir1 Ir 0.2500 0.2500 0.7500
```

The formation energy is -0.304 eV per atom.

=====

[3]
The following is a PBE calculation of crystalline TmPaAgIr at its relaxed geometry, from Alexandria via LeMat-Bulk.

```
data_TmPaAgIr
_symmetry_space_group_name_H-M 'F -4 3 m'
_symmetry_Int_Tables_number 216
_symmetry_space_group_name_Hall 'F -4 2 3'
_cell_length_a 7.0248
_cell_length_b 7.0248
_cell_length_c 7.0248
_cell_angle_alpha 90.00
_cell_angle_beta 90.00
_cell_angle_gamma 90.00
loop_
_atom_site_label
_atom_site_type_symbol
_atom_site_fract_x
_atom_site_fract_y
_atom_site_fract_z
Tm1 Tm 0.0000 0.0000 0.0000
Pa1 Pa 0.0000 0.0000 0.5000
Ag1 Ag 0.2500 0.2500 0.2500
Ir1 Ir 0.2500 0.2500 0.7500
```

The formation energy is -0.347 eV per atom.

=====

[4]
The following is a PBE calculation of crystalline YPaAgIr at its relaxed geometry, from Alexandria via LeMat-Bulk.

```
data_YPaAgIr
_symmetry_space_group_name_H-M 'F -4 3 m'
_symmetry_Int_Tables_number 216
_symmetry_space_group_name_Hall 'F -4 2 3'
_cell_length_a 7.0708
_cell_length_b 7.0708
_cell_length_c 7.0708
_cell_angle_alpha 90.00
_cell_angle_beta 90.00
_cell_angle_gamma 90.00
loop_
_atom_site_label
_atom_site_type_symbol
_atom_site_fract_x
_atom_site_fract_y
_atom_site_fract_z
Y1 Y 0.0000 0.0000 0.0000
Pa1 Pa 0.0000 0.0000 0.5000
Ag1 Ag 0.2500 0.2500 0.7500
Ir1 Ir 0.2500 0.2500 0.2500
```

The formation energy is -0.302 eV per atom.

=====

[5]
The following is a PBE calculation of crystalline PaZnAgIr at its relaxed geometry, from Alexandria via LeMat-Bulk.

```
data_PaZnAgIr
_symmetry_space_group_name_H-M 'F -4 3 m'
_symmetry_Int_Tables_number 216
_symmetry_space_group_name_Hall 'F -4 2 3'
_cell_length_a 6.7417
_cell_length_b 6.7417
_cell_length_c 6.7417
_cell_angle_alpha 90.00
_cell_angle_beta 90.00
_cell_angle_gamma 90.00
loop_
_atom_site_label
_atom_site_type_symbol
_atom_site_fract_x
_atom_site_fract_y
_atom_site_fract_z
Pa1 Pa 0.0000 0.0000 0.0000
Zn1 Zn 0.0000 0.0000 0.5000
Ag1 Ag 0.2500 0.2500 0.7500
Ir1 Ir 0.2500 0.2500 0.2500
```

The formation energy is -0.177 eV per atom.

=====

[6]
The following is a PBE calculation of crystalline AgIr2Pb at its relaxed geometry, from Alexandria via LeMat-Bulk.

```
data_AgIr2Pb
_symmetry_space_group_name_H-M 'C m m m'
_symmetry_Int_Tables_number 65
_symmetry_space_group_name_Hall '-C 2 2'
_cell_length_a 5.9982
_cell_length_b 7.5242
_cell_length_c 3.0915
_cell_angle_alpha 90.00
_cell_angle_beta 90.00
_cell_angle_gamma 90.00
loop_
_atom_site_label
_atom_site_type_symbol
_atom_site_fract_x
_atom_site_fract_y
_atom_site_fract_z
Ag1 Ag 0.0000 0.0000 0.0000
Ir1 Ir 0.2500 0.2500 0.5000
Pb1 Pb 0.0000 0.5000 0.0000
```

The formation energy is 0.560 eV per atom.

=====

[7]
The following is a PBE calculation of crystalline AgIr2Pb at its relaxed geometry, from Alexandria via LeMat-Bulk.

```
data_AgIr2Pb
_symmetry_space_group_name_H-M 'P 1 m 1'
_symmetry_Int_Tables_number 6
_symmetry_space_group_name_Hall 'P -2y'
_cell_length_a 2.8779
_cell_length_b 3.7103
_cell_length_c 7.5819
_cell_angle_alpha 90.00
_cell_angle_beta 100.81
_cell_angle_gamma 90.00
loop_
_atom_site_label
_atom_site_type_symbol
_atom_site_fract_x
_atom_site_fract_y
_atom_site_fract_z
Ag1 Ag 0.0000 0.0000 0.0000
Ir1 Ir 0.1928 0.0000 0.3879
Ir2 Ir 0.6240 0.5000 0.2482
Pb1 Pb 0.3555 0.5000 0.7021
```

The formation energy is 0.405 eV per atom.

=====

[8]
The following is a PBE calculation of crystalline AgIrPb at its relaxed geometry, from Alexandria via LeMat-Bulk.

```
data_AgIrPb
_symmetry_space_group_name_H-M 'P 3 m 1'
_symmetry_Int_Tables_number 156
_symmetry_space_group_name_Hall 'P 3 -2"'
_cell_length_a 4.6579
_cell_length_b 4.6579
_cell_length_c 3.1369
_cell_angle_alpha 90.00
_cell_angle_beta 90.00
_cell_angle_gamma 120.00
loop_
_atom_site_label
_atom_site_type_symbol
_atom_site_fract_x
_atom_site_fract_y
_atom_site_fract_z
Ag1 Ag 0.0000 0.0000 0.0000
Ir1 Ir 0.6667 0.3333 0.5319
Pb1 Pb 0.3333 0.6667 0.4623
```

The formation energy is 0.444 eV per atom.

=====

[9]
The following is a PBE calculation of crystalline AgIrPb2 at its relaxed geometry, from Alexandria via LeMat-Bulk.

```
data_AgIrPb2
_symmetry_space_group_name_H-M 'R -3 m'
_symmetry_Int_Tables_number 166
_symmetry_space_group_name_Hall '-R 3 2"'
_cell_length_a 3.3625
_cell_length_b 3.3625
_cell_length_c 27.3467
_cell_angle_alpha 90.00
_cell_angle_beta 90.00
_cell_angle_gamma 120.00
loop_
_atom_site_label
_atom_site_type_symbol
_atom_site_fract_x
_atom_site_fract_y
_atom_site_fract_z
Ag1 Ag 0.0000 0.0000 0.0000
Ir1 Ir 0.0000 0.0000 0.5000
Pb1 Pb 0.0000 0.0000 0.2437
```

The formation energy is 0.364 eV per atom.

=====

[10]
The following is a PBE calculation of crystalline AgIrPb at its relaxed geometry, from Alexandria via LeMat-Bulk.

```
data_AgIrPb
_symmetry_space_group_name_H-M 'P 1 2/m 1'
_symmetry_Int_Tables_number 10
_symmetry_space_group_name_Hall '-P 2y'
_cell_length_a 3.0911
_cell_length_b 4.7454
_cell_length_c 4.5836
_cell_angle_alpha 90.00
_cell_angle_beta 90.33
_cell_angle_gamma 90.00
loop_
_atom_site_label
_atom_site_type_symbol
_atom_site_fract_x
_atom_site_fract_y
_atom_site_fract_z
Ag1 Ag 0.0000 0.0000 0.0000
Ir1 Ir 0.5000 0.5000 0.0000
Pb1 Pb 0.0000 0.5000 0.5000
```

The formation energy is 0.363 eV per atom.

=====

[11]
The following is a PBE calculation of crystalline AgIr2Pb at its relaxed geometry, from Alexandria via LeMat-Bulk.

```
data_AgIr2Pb
_symmetry_space_group_name_H-M 'P 1 2/m 1'
_symmetry_Int_Tables_number 10
_symmetry_space_group_name_Hall '-P 2y'
_cell_length_a 5.0135
_cell_length_b 2.9826
_cell_length_c 5.0536
_cell_angle_alpha 90.00
_cell_angle_beta 111.45
_cell_angle_gamma 90.00
loop_
_atom_site_label
_atom_site_type_symbol
_atom_site_fract_x
_atom_site_fract_y
_atom_site_fract_z
Ag1 Ag 0.0000 0.0000 0.0000
Ir1 Ir 0.0000 0.5000 0.5000
Ir2 Ir 0.5000 0.0000 0.5000
Pb1 Pb 0.5000 0.5000 0.0000
```

The formation energy is 0.514 eV per atom.

=====

[12]
The following is a PBE calculation of crystalline AgIr2Pb at its relaxed geometry, from Alexandria via LeMat-Bulk.

```
data_AgIr2Pb
_symmetry_space_group_name_H-M 'C 1 m 1'
_symmetry_Int_Tables_number 8
_symmetry_space_group_name_Hall 'C -2y'
_cell_length_a 8.5710
_cell_length_b 2.9236
_cell_length_c 6.3382
_cell_angle_alpha 90.00
_cell_angle_beta 98.93
_cell_angle_gamma 90.00
loop_
_atom_site_label
_atom_site_type_symbol
_atom_site_fract_x
_atom_site_fract_y
_atom_site_fract_z
Ag1 Ag 0.0000 0.0000 0.0000
Ir1 Ir 0.0124 0.5000 0.6037
Ir2 Ir 0.2524 0.0000 0.7469
Pb1 Pb 0.2627 0.5000 0.3081
```

The formation energy is 0.481 eV per atom.

=====

[13]
The following is a PBE calculation of crystalline AgIr2Pb at its relaxed geometry, from Alexandria via LeMat-Bulk.

```
data_AgIr2Pb
_symmetry_space_group_name_H-M 'I -4 m 2'
_symmetry_Int_Tables_number 119
_symmetry_space_group_name_Hall 'I -4 -2'
_cell_length_a 4.2333
_cell_length_b 4.2333
_cell_length_c 7.8367
_cell_angle_alpha 90.00
_cell_angle_beta 90.00
_cell_angle_gamma 90.00
loop_
_atom_site_label
_atom_site_type_symbol
_atom_site_fract_x
_atom_site_fract_y
_atom_site_fract_z
Ag1 Ag 0.0000 0.0000 0.0000
Ir1 Ir 0.0000 0.0000 0.5000
Ir2 Ir 0.0000 0.5000 0.7500
Pb1 Pb 0.0000 0.5000 0.2500
```

The formation energy is 0.590 eV per atom.

=====

[14]
The following is a PBE calculation of crystalline AgIr2Pb at its relaxed geometry, from Alexandria via LeMat-Bulk.

```
data_AgIr2Pb
_symmetry_space_group_name_H-M 'I m m 2'
_symmetry_Int_Tables_number 44
_symmetry_space_group_name_Hall 'I 2 -2'
_cell_length_a 2.9063
_cell_length_b 4.8156
_cell_length_c 10.6689
_cell_angle_alpha 90.00
_cell_angle_beta 90.00
_cell_angle_gamma 90.00
loop_
_atom_site_label
_atom_site_type_symbol
_atom_site_fract_x
_atom_site_fract_y
_atom_site_fract_z
Ag1 Ag 0.0000 0.0000 0.0000
Ir1 Ir 0.0000 0.0000 0.4633
Ir2 Ir 0.0000 0.5000 0.7616
Pb1 Pb 0.0000 0.5000 0.2005
```

The formation energy is 0.520 eV per atom.

=====

[15]
The following is a PBE calculation of crystalline AgIr2Pb at its relaxed geometry, from Alexandria via LeMat-Bulk.

```
data_AgIr2Pb
_symmetry_space_group_name_H-M 'P m m 2'
_symmetry_Int_Tables_number 25
_symmetry_space_group_name_Hall 'P 2 -2'
_cell_length_a 2.8871
_cell_length_b 3.6719
_cell_length_c 7.3940
_cell_angle_alpha 90.00
_cell_angle_beta 90.00
_cell_angle_gamma 90.00
loop_
_atom_site_label
_atom_site_type_symbol
_atom_site_fract_x
_atom_site_fract_y
_atom_site_fract_z
Ag1 Ag 0.0000 0.0000 0.0000
Ir1 Ir 0.0000 0.0000 0.3947
Ir2 Ir 0.5000 0.5000 0.2408
Pb1 Pb 0.5000 0.5000 0.6774
```

The formation energy is 0.411 eV per atom.

=====

Across the entries above, E_tot takes the values -8.12, -6.76, -6.77, -7.22, -5.80, -5.51, -5.67, -4.70, -4.42, -4.78, -5.56, -5.59, -5.48, -5.55, -5.66 eV/atom, respectively.
Across the entries above, V takes the values 17.58, 22.10, 21.67, 22.09, 19.15, 17.44, 19.88, 19.65, 22.31, 22.41, 17.58, 19.61, 17.55, 18.66, 19.60 Å³ per atom, respectively.